1.
Material: Ce5Dy3Bi8
Method: DFT, PBE-GGA
State: relaxed

Cell: 9.109 9.109 9.109 Å, 60.01 60.01 60.01°
Positions (direct):
Ce 0.000 0.000 0.000
Ce 0.000 0.500 0.500
Ce 0.500 0.000 0.500
Ce 0.500 0.500 0.000
Ce 0.500 0.500 0.500
Dy 0.000 0.000 0.500
Dy 0.000 0.500 0.000
Dy 0.500 0.000 0.000
Bi 0.245 0.750 0.750
Bi 0.248 0.248 0.248
Bi 0.250 0.250 0.755
Bi 0.250 0.755 0.250
Bi 0.750 0.245 0.750
Bi 0.750 0.750 0.245
Bi 0.752 0.752 0.752
Bi 0.755 0.250 0.250

## Properties
ΔH_f (0 K) in kJ/mol of formula units: -1258

=====

2.
Material: MgUSn
Method: DFT, PBE-GGA
State: relaxed

Cell: 3.120 17.610 4.976 Å, 90.00 90.00 90.00°
Positions (direct):
Mg 0.000 0.058 0.250
Mg 0.000 0.942 0.750
Mg 0.500 0.442 0.750
Mg 0.500 0.558 0.250
U 0.000 0.266 0.750
U 0.000 0.734 0.250
U 0.500 0.234 0.250
U 0.500 0.766 0.750
Sn 0.000 0.396 0.250
Sn 0.000 0.604 0.750
Sn 0.500 0.104 0.750
Sn 0.500 0.896 0.250

## Properties
ΔH_f (0 K) in kJ/mol of formula units: 5

=====

3.
Material: CsCu2Rh
Method: DFT, PBE-GGA
State: relaxed

Cell: 6.803 6.803 6.803 Å, 90.00 90.00 90.00°
Positions (direct):
Cs 0.000 0.000 0.000
Cs 0.000 0.500 0.500
Cs 0.500 0.000 0.500
Cs 0.500 0.500 0.000
Cu 0.250 0.250 0.250
Cu 0.250 0.250 0.750
Cu 0.250 0.750 0.250
Cu 0.250 0.750 0.750
Cu 0.750 0.250 0.250
Cu 0.750 0.250 0.750
Cu 0.750 0.750 0.250
Cu 0.750 0.750 0.750
Rh 0.000 0.000 0.500
Rh 0.000 0.500 0.000
Rh 0.500 0.000 0.000
Rh 0.500 0.500 0.500

## Properties
Distance to the lowest polymorph of the same formula in eV/f.u.: 1.81
ΔH_f (0 K) in kJ/mol of formula units: 417

=====

4.
Material: HfZrScAl
Method: DFT, PBE-GGA
State: relaxed

Cell: 4.360 4.361 4.365 Å, 90.00 90.00 90.00°
Positions (direct):
Hf 0.000 0.000 0.000
Zr 0.000 0.500 0.500
Sc 0.500 0.000 0.500
Al 0.500 0.500 0.000

## Properties
ΔH_f (0 K) in kJ/mol of formula units: -93

=====

5.
Material: K3SbRu
Method: DFT, PBE-GGA
State: relaxed

Cell: 6.082 6.082 6.082 Å, 90.00 90.00 90.00°
Positions (direct):
K 0.000 0.000 0.500
K 0.000 0.500 0.000
K 0.500 0.000 0.000
Sb 0.500 0.500 0.500
Ru 0.000 0.000 0.000

## Properties
Distance to the lowest polymorph of the same formula in eV/f.u.: 0.00
Formation energy without anion corrections in eV per atom: 0.95

=====

6.
Material: ReGe
Method: DFT, PBE-GGA
State: relaxed

Cell: 5.737 5.737 4.846 Å, 90.00 90.00 90.00°
Positions (direct):
Re 0.143 0.143 0.000
Re 0.357 0.643 0.500
Re 0.643 0.357 0.500
Re 0.857 0.857 0.000
Ge 0.217 0.217 0.500
Ge 0.283 0.717 0.000
Ge 0.717 0.283 0.000
Ge 0.783 0.783 0.500

## Properties
ΔH_f (0 K) in kJ/mol of formula units: 165